[1]
# PrGa2Ni3

A relaxed structure of PrGa2Ni3 (PBE, Alexandria via LeMat-Bulk).

The structure in POSCAR format:
```
PrGa2Ni3
1.0
5.206 0.000 0.000
0.000 6.159 0.036
0.000 -1.202 6.041
Pr Ga Ni
2 4 6
Direct
0.250 0.312 0.312
0.750 0.688 0.688
0.500 0.783 0.217
0.000 0.783 0.217
0.000 0.217 0.783
0.500 0.217 0.783
0.750 0.450 0.106
0.750 0.106 0.450
0.250 0.550 0.894
0.750 0.055 0.055
0.250 0.945 0.945
0.250 0.894 0.550
```

Results
* symmetry: Cmcm, No. 63
* calculated volume: 16.16 Å³ per atom
* formation enthalpy at 0 K: -0.45 eV per atom
* DOS(E_F): 0.61 states/eV per atom

***

[2]
# PuInTcIr

A relaxed structure of PuInTcIr (PBE, Alexandria via LeMat-Bulk).

The structure in POSCAR format:
```
PuInTcIr
1.0
4.700 0.000 0.000
2.350 4.070 0.000
2.350 1.357 3.837
Ir In Tc Pu
1 1 1 1
Direct
0.500 0.500 0.500
0.250 0.250 0.250
0.000 0.000 0.000
0.750 0.750 0.750
```

Results
* symmetry: F-43m, No. 216
* calculated volume: 18.35 Å³ per atom
* formation enthalpy at 0 K: -0.15 eV per atom
* DOS(E_F): 0.86 states/eV per atom

***

[3]
# ZrPaCu3

A relaxed structure of ZrPaCu3 (PBE, Alexandria via LeMat-Bulk).

The structure in POSCAR format:
```
ZrPaCu3
1.0
3.122 0.000 -0.430
0.000 4.304 0.000
0.201 0.000 13.015
Zr Pa Cu
2 2 6
Direct
0.212 0.750 0.425
0.788 0.250 0.575
0.925 0.750 0.850
0.075 0.250 0.150
0.622 0.750 0.244
0.378 0.250 0.756
0.524 0.750 0.048
0.476 0.250 0.952
0.675 0.250 0.350
0.325 0.750 0.650
```

Results
* symmetry: Cmcm, No. 63
* calculated volume: 17.53 Å³ per atom
* formation enthalpy at 0 K: -0.07 eV per atom
* DOS(E_F): 0.94 states/eV per atom